Density functional theory data (PBE) for a relaxed structure of Te2W.

## Properties
Size of the total moment: 0.0 Bohr magnetons per cell
Raw total energy: -6.301 eV per atom

Cell: 7.5240 7.5240 9.7844 Å, 128.22 128.22 26.18°
Last column: nearest neighbours and their distance in Å.
Element x y z (fractional)
Te 0.0595 0.0595 0.3556  3 W 2.72-2.75
Te 0.2997 0.2997 0.8646  2 W 2.73
Te 0.7003 0.7003 0.1354  2 W 2.73
Te 0.9405 0.9405 0.6444  3 W 2.72-2.75
W 0.2656 0.2656 0.4024  5 Te 2.72-2.75, 2 W 2.81
W 0.7344 0.7344 0.5976  5 Te 2.72-2.75, 2 W 2.81

=====

Density functional theory data (PBE) for a relaxed structure of Na5B2F12.

## Properties
Size of the total moment: 1.0 Bohr magnetons per cell
Raw total energy: -4.692 eV per atom

Cell: 6.9497 6.9497 8.0515 Å, 106.57 106.57 53.12°
Last column: nearest neighbours and their distance in Å.
Element x y z (fractional)
Na 0.0000 0.0000 0.0000  4 F 2.30
Na 0.2745 0.2745 0.0540  5 F 2.13-2.35
Na 0.3857 0.3857 0.7575  3 F 2.13-2.18
Na 0.6143 0.6143 0.2425  3 F 2.13-2.18
Na 0.7255 0.7255 0.9460  5 F 2.13-2.35
B 0.1836 0.8164 0.5000  2 F 1.33
B 0.8164 0.1836 0.5000  2 F 1.33
F 0.0326 0.0326 0.6425  2 B 1.58
F 0.0893 0.6130 0.9130  4 Na 2.18-2.35
F 0.1815 0.6280 0.5052  1 B 1.33
F 0.3720 0.8185 0.4948  1 B 1.33
F 0.3870 0.9107 0.0870  4 Na 2.18-2.35
F 0.4417 0.4417 0.2356  2 Na 2.13
F 0.5583 0.5583 0.7644  2 Na 2.13
F 0.6130 0.0893 0.9130  4 Na 2.18-2.35
F 0.6280 0.1815 0.5052  1 B 1.33
F 0.8185 0.3720 0.4948  1 B 1.33
F 0.9107 0.3870 0.0870  4 Na 2.18-2.35
F 0.9674 0.9674 0.3575  2 B 1.58